TbDy2TmSb4 after structural relaxation. Source: Alexandria, functional PBE.

The structure in CIF format:
```
data_TbDy2TmSb4
_chemical_formula_sum 'Tb1 Dy2 Tm1 Sb4'
_symmetry_space_group_name_H-M 'P 1 2/m 1'
_symmetry_Int_Tables_number 10
_symmetry_space_group_name_Hall '-P 2y'
_cell_length_a 7.579
_cell_length_b 4.379
_cell_length_c 7.580
_cell_angle_alpha 90.00
_cell_angle_beta 109.47
_cell_angle_gamma 90.00
loop_
_atom_site_label
_atom_site_fract_x
_atom_site_fract_y
_atom_site_fract_z
Tb1 0.000 0.000 0.000
Dy1 0.000 0.500 0.500
Dy2 0.500 0.000 0.500
Tm1 0.500 0.500 0.000
Sb1 0.252 0.500 0.250
Sb2 0.253 0.000 0.752
```

Final energy ... -43.75 eV/cell
Uncorrected formation energy ... -1.12 eV/atom

Ca3Bi2Pd7 after structural relaxation. Source: Alexandria, functional PBE.

The structure in CIF format:
```
data_Ca3Bi2Pd7
_chemical_formula_sum 'Ca6 Bi4 Pd14'
_symmetry_space_group_name_H-M 'C m m m'
_symmetry_Int_Tables_number 65
_symmetry_space_group_name_Hall '-C 2 2'
_cell_length_a 4.177
_cell_length_b 30.985
_cell_length_c 4.132
_cell_angle_alpha 90.00
_cell_angle_beta 90.00
_cell_angle_gamma 90.00
loop_
_atom_site_label
_atom_site_fract_x
_atom_site_fract_y
_atom_site_fract_z
Ca1 0.000 0.000 0.000
Ca2 0.000 0.208 0.000
Bi1 0.000 0.414 0.500
Pd1 0.000 0.144 0.500
Pd2 0.000 0.286 0.500
Pd3 0.000 0.356 0.000
Pd4 0.000 0.500 0.500
```

ΔE_f ... -468 meV per atom
Final energy ... -111.46 eV/cell

The volume results, record by record, are as follows: 29.6, 22.3 Å³ per atom.